1.
Tm2MgPb | the Alexandria database | GGA-PBE | optimized geometry; uncorrected energy = -3.80 eV/atom
1.0
3.894 0.000 0.000
0.000 3.894 0.000
0.000 0.000 7.012
Tm Mg Pb
2 1 1
Direct
0.000 0.000 0.248
0.000 0.000 0.752
0.500 0.500 0.000
0.500 0.500 0.500

=====

2.
TmMgPb | the Alexandria database | GGA-PBE | optimized geometry; uncorrected energy = -3.50 eV/atom
1.0
5.030 0.000 0.000
-2.515 4.356 0.000
0.000 0.000 3.516
Tm Mg Pb
1 1 1
Direct
0.000 0.000 0.000
0.333 0.667 0.502
0.667 0.333 0.497

=====

3.
Tm2MgPb2 | the Alexandria database | GGA-PBE | optimized geometry; uncorrected energy = -3.89 eV/atom
1.0
5.888 -2.349 0.000
5.888 2.349 0.000
-4.326 0.000 9.729
Tm Mg Pb
4 2 4
Direct
0.007 0.007 0.334
0.174 0.174 0.091
0.826 0.826 0.909
0.993 0.993 0.666
0.292 0.292 0.674
0.708 0.708 0.326
0.350 0.350 0.422
0.452 0.452 0.117
0.548 0.548 0.883
0.650 0.650 0.578